Ac2Hg7Bi3: optimized geometry, PBE.

Unit cell a=4.768 b=4.590 c=18.680 alpha=90.00 beta=97.35 gamma=90.00
Atoms (fractional coordinates):
1 Ac 0.138 0.000 0.273
2 Ac 0.862 0.000 0.727
3 Hg 0.068 0.500 0.137
4 Hg 0.224 0.000 0.450
5 Hg 0.430 0.000 0.859
6 Hg 0.500 0.500 0.000
7 Hg 0.570 0.000 0.141
8 Hg 0.776 0.000 0.550
9 Hg 0.932 0.500 0.863
10 Bi 0.000 0.000 0.000
11 Bi 0.339 0.500 0.681
12 Bi 0.661 0.500 0.319

Calculated values
* energy relative to the elements: -222 meV/atom
* SG: P2/m
* total magnetic moment: 0.000 μB per atom